The following is a DFT calculation (PBE) of a geometry-optimized ScP2Os structure.

Cell and atoms, written as extended XYZ:
```
4
Lattice="0.000 3.122 3.122 3.122 0.000 3.122 3.122 3.122 0.000" Properties=species:S:1:pos:R:3 pbc="T T T"
Sc 0.000 0.000 0.000
P 1.561 1.561 1.561
P 3.122 3.122 3.122
Os 4.683 4.683 4.683
```

Computed properties:
As for the formation energy: 0.0592 eV per atom. The density of states at the Fermi level is 0.390 states/eV/atom. The total energy comes out at -7.036 eV per atom.

=====

The following is a DFT calculation (PBE) of a geometry-optimized ScP2Os structure.

Cell and atoms, written as extended XYZ:
```
4
Lattice="3.258 -1.873 0.000 3.258 1.873 0.000 -2.148 0.000 5.258" Properties=species:S:1:pos:R:3 pbc="T T T"
Sc 0.000 0.000 0.000
P 0.018 0.000 3.717
P 4.350 0.000 1.541
Os 2.184 0.000 2.629
```

Computed properties:
As for the formation energy: -0.6719 eV per atom. The density of states at the Fermi level is 0.693 states/eV/atom. The total energy comes out at -7.767 eV per atom.

=====

The following is a DFT calculation (PBE) of a geometry-optimized Sc2POs structure.

Cell and atoms, written as extended XYZ:
```
4
Lattice="3.281 0.000 0.000 0.000 4.173 0.000 0.000 0.000 5.402" Properties=species:S:1:pos:R:3 pbc="T T T"
Sc 0.000 0.000 0.000
Sc 1.641 2.086 1.994
P 1.641 2.086 4.697
Os 0.000 0.000 2.543
```

Computed properties:
As for the formation energy: -0.3796 eV per atom. The density of states at the Fermi level is 0.656 states/eV/atom. The total energy comes out at -7.705 eV per atom.